# BiPbAu

A geometry-optimized BiPbAu structure (PBE, Alexandria via LeMat-Bulk).

Properties
**Total energy**: -11.10 eV for the cell shown
**Offset from the most stable computed form**: 0.0 meV per atom
**Magnetization**: 0.000 μB/atom
**Energy relative to the elements**: -1.79 kcal/mol of atoms
**Space-group type**: F-43m, No. 216

abc: 4.9911 4.9911 4.9911
angles: 60.00 60.00 60.00
With the nearest neighbours (Å) after each atom.
Fractional coordinates of all 3 atoms:
Bi 0.5000 0.5000 0.5000  4 Au 3.06
Au 0.2500 0.2500 0.2500  4 Bi 3.06, 4 Pb 3.06
Pb 0.0000 0.0000 0.0000  4 Au 3.06